1.
Here is an optimized crystal structure of CdSe2N2 from Alexandria. Energies are from PBE.

Cell lengths 4.2003, 4.2003, 6.1574 Å; angles 90.00, 90.00, 90.00 degrees
Last column: nearest neighbours and their distance in Å.
Element x y z (fractional)
Cd  0.0000  0.0000  0.0000  4 N 2.10
Se  0.0000  0.0000  0.5000  4 Se 2.97, 2 Cd 3.08
Se  0.5000  0.5000  0.5000  4 Se 2.97
N  0.0000  0.5000  0.0000  2 Cd 2.10
N  0.5000  0.0000  0.0000  2 Cd 2.10

Properties
The calculated volume comes out at 108.6 Å³/f.u. Its calculated total energy is -3.16 eV per atom. For the formation energy (no corrections), the calculation gives 8.73 eV per formula unit.


2.
Here is an optimized crystal structure of KAu2Br from Alexandria. Energies are from PBE.

Cell lengths 7.4304, 7.4304, 4.0663 Å; angles 105.87, 105.87, 134.09 degrees
Last column: nearest neighbours and their distance in Å.
Element x y z (fractional)
K  0.0000  0.0000  0.0000  4 Br 2.90
Au  0.0000  0.5000  0.5000  4 Au 2.90
Au  0.5000  0.0000  0.5000  4 Au 2.90
Br  0.5000  0.5000  0.0000  4 K 2.90

Properties
The calculated volume comes out at 115.0 Å³/f.u. Its calculated total energy is -2.66 eV per atom. For the formation energy (no corrections), the calculation gives -1.32 eV per formula unit.


3.
Here is an optimized crystal structure of Nb2VGa2 from Alexandria. Energies are from PBE.

Cell lengths 6.7359, 6.7359, 3.5781 Å; angles 90.00, 90.00, 90.00 degrees
Last column: nearest neighbours and their distance in Å.
Element x y z (fractional)
Nb  0.1737  0.3263  0.0000  6 Ga 2.59-2.73
Nb  0.3263  0.8263  0.0000  6 Ga 2.59-2.73
Nb  0.6737  0.1737  0.0000  6 Ga 2.59-2.73
Nb  0.8263  0.6737  0.0000  6 Ga 2.59-2.73
V  0.0000  0.0000  0.5000  4 Ga 2.64
V  0.5000  0.5000  0.5000  4 Ga 2.64
Ga  0.1299  0.6299  0.5000  1 Ga 2.47, 6 Nb 2.59-2.73, 2 V 2.64
Ga  0.3701  0.1299  0.5000  1 Ga 2.47, 6 Nb 2.59-2.73, 2 V 2.64
Ga  0.6299  0.8701  0.5000  1 Ga 2.47, 6 Nb 2.59-2.73, 2 V 2.64
Ga  0.8701  0.3701  0.5000  1 Ga 2.47, 6 Nb 2.59-2.73, 2 V 2.64

Properties
The calculated volume comes out at 81.2 Å³/f.u. Its calculated total energy is -7.34 eV per atom. As for the energy of formation: -0.2760 eV/atom.


4.
Here is an optimized crystal structure of Ru2RhW from Alexandria. Energies are from PBE.

Cell lengths 2.7509, 4.2688, 5.1991 Å; angles 90.00, 104.54, 90.00 degrees
Last column: nearest neighbours and their distance in Å.
Element x y z (fractional)
Ru  0.0000  0.0000  0.0000  2 W 2.56, 3 Rh 2.61-2.79, 6 Ru 2.72-2.75
Ru  0.4083  0.5000  0.8063  3 W 2.65-2.75, 6 Ru 2.72-2.75
Rh  0.7320  0.0000  0.4825  3 Ru 2.61-2.79, 4 W 2.73-2.74, 2 Rh 2.75
W  0.1317  0.5000  0.2798  5 Ru 2.56-2.75, 4 Rh 2.73-2.74, 2 W 2.75

Properties
The calculated volume comes out at 59.1 Å³/f.u. Its calculated total energy is -9.64 eV per atom. As for the energy of formation: 0.0711 eV/atom.


5.
Here is an optimized crystal structure of BaAcPm2 from Alexandria. Energies are from PBE.

Cell lengths 13.5647, 13.5647, 13.5647 Å; angles 16.07, 16.07, 16.07 degrees
Last column: nearest neighbours and their distance in Å.
Element x y z (fractional)
Ba  0.0000  0.0000  0.0000  2 Pm 3.67, 6 Ba 3.79
Ac  0.5000  0.5000  0.5000  6 Pm 3.73, 6 Ac 3.79
Pm  0.0915  0.0915  0.0915  1 Ba 3.67, 3 Ac 3.73, 6 Pm 3.79
Pm  0.9085  0.9085  0.9085  1 Ba 3.67, 3 Ac 3.73, 6 Pm 3.79

Properties
The calculated volume comes out at 166.7 Å³/f.u. Its calculated total energy is -3.67 eV per atom. As for the energy of formation: 0.2132 eV/atom.


6.
Here is an optimized crystal structure of BeAg2O from Alexandria. Energies are from PBE.

Cell lengths 5.2773, 5.2773, 5.2773 Å; angles 105.85, 105.85, 116.98 degrees
Last column: nearest neighbours and their distance in Å.
Element x y z (fractional)
Be  0.0000  0.0000  0.0000  4 Ag 2.41
Be  0.7500  0.2500  0.5000  4 Ag 2.41
Ag  0.1387  0.1250  0.5137  2 O 2.29, 2 Be 2.41
Ag  0.3750  0.8613  0.9863  2 O 2.29, 2 Be 2.41
Ag  0.6113  0.6250  0.4863  2 O 2.29, 2 Be 2.41
Ag  0.8750  0.3887  0.0137  2 O 2.29, 2 Be 2.41
O  0.2500  0.7500  0.5000  4 Ag 2.29
O  0.5000  0.5000  0.0000  4 Ag 2.29

Properties
The calculated volume comes out at 55.8 Å³/f.u. Its calculated total energy is -3.26 eV per atom. For the formation energy (no corrections), the calculation gives 1.35 eV per formula unit.


7.
Here is an optimized crystal structure of LaPmTm2Sc from Alexandria. Energies are from PBE.

Cell lengths 7.8361, 5.0305, 7.8944 Å; angles 90.00, 90.19, 90.00 degrees
Last column: nearest neighbours and their distance in Å.
Element x y z (fractional)
La  0.2421  0.2500  0.2387  3 Sc 3.43-3.46, 6 Tm 3.49-3.60, 3 Pm 3.61-3.64
La  0.7579  0.7500  0.7613  3 Sc 3.43-3.46, 6 Tm 3.49-3.60, 3 Pm 3.61-3.64
Pm  0.4460  0.2500  0.6533  1 Sc 3.47, 6 Tm 3.52-3.58, 2 Pm 3.59, 3 La 3.61-3.64
Pm  0.5540  0.7500  0.3467  1 Sc 3.47, 6 Tm 3.52-3.58, 2 Pm 3.59, 3 La 3.61-3.64
Tm  0.1470  0.7500  0.5469  3 Sc 3.47-3.54, 3 Tm 3.49, 3 La 3.49-3.58, 3 Pm 3.54-3.56
Tm  0.3389  0.7500  0.9459  3 Sc 3.45-3.47, 3 Tm 3.49-3.66, 3 La 3.50-3.60, 3 Pm 3.52-3.58
Tm  0.6611  0.2500  0.0541  3 Sc 3.45-3.47, 3 Tm 3.49-3.66, 3 La 3.50-3.60, 3 Pm 3.52-3.58
Tm  0.8530  0.2500  0.4531  3 Sc 3.47-3.54, 3 Tm 3.49, 3 La 3.49-3.58, 3 Pm 3.54-3.56
Sc  0.0491  0.2500  0.8477  3 La 3.43-3.46, 6 Tm 3.45-3.54, 1 Pm 3.47, 2 Sc 3.57
Sc  0.9509  0.7500  0.1523  3 La 3.43-3.46, 6 Tm 3.45-3.54, 1 Pm 3.47, 2 Sc 3.57

Properties
The calculated volume comes out at 155.6 Å³/f.u. Its calculated total energy is -4.93 eV per atom. As for the energy of formation: 0.0569 eV/atom.


8.
Here is an optimized crystal structure of RbNiSN2 from Alexandria. Energies are from PBE.

Cell lengths 4.1413, 4.1413, 4.7379 Å; angles 90.00, 90.00, 90.00 degrees
Last column: nearest neighbours and their distance in Å.
Element x y z (fractional)
Rb  0.0000  0.0000  0.0000  4 S 2.93, 8 N 3.15
Ni  0.5000  0.5000  0.5000  4 N 2.07
S  0.5000  0.5000  0.0000  2 Ni 2.37
N  0.0000  0.5000  0.5000  2 Ni 2.07
N  0.5000  0.0000  0.5000  2 Ni 2.07

Properties
The calculated volume comes out at 81.3 Å³/f.u. Its calculated total energy is -4.40 eV per atom. For the formation energy (no corrections), the calculation gives 5.50 eV per formula unit.


9.
Here is an optimized crystal structure of LaSmPuTl from Alexandria. Energies are from PBE.

Cell lengths 5.5542, 5.5542, 5.5542 Å; angles 60.00, 60.00, 60.00 degrees
Last column: nearest neighbours and their distance in Å.
Element x y z (fractional)
La  0.0000  0.0000  0.0000  4 Pu 3.40, 4 Tl 3.40
Sm  0.5000  0.5000  0.5000  4 Pu 3.40, 4 Tl 3.40
Pu  0.7500  0.7500  0.7500  4 Sm 3.40, 4 La 3.40
Tl  0.2500  0.2500  0.2500  4 Sm 3.40, 4 La 3.40

Properties
The calculated volume comes out at 121.2 Å³/f.u. Its calculated total energy is -6.59 eV per atom. As for the energy of formation: -0.0015 eV/atom.


10.
Here is an optimized crystal structure of Rb4AuBrO from Alexandria. Energies are from PBE.

Cell lengths 9.6314, 9.6314, 9.6314 Å; angles 146.41, 146.41, 48.24 degrees
Last column: nearest neighbours and their distance in Å.
Element x y z (fractional)
Rb  0.0000  0.0000  0.0000  1 O 2.73
Rb  0.1566  0.6566  0.5000  2 O 2.78
Rb  0.3090  0.3090  0.0000  1 O 2.70
Rb  0.6566  0.1566  0.5000  2 O 2.78
Au  0.5117  0.5117  0.0000  9 Rb 3.56-3.94
Br  0.7965  0.7965  0.0000  9 Rb 3.58-3.94
O  0.1555  0.1555  0.0000  6 Rb 2.70-2.78

Properties
The calculated volume comes out at 272.3 Å³/f.u. Its calculated total energy is -2.96 eV per atom. For the formation energy (no corrections), the calculation gives -6.93 eV per formula unit.


11.
Here is an optimized crystal structure of SiTcSb2 from Alexandria. Energies are from PBE.

Cell lengths 3.2562, 3.2562, 7.3981 Å; angles 90.00, 90.00, 90.00 degrees
Last column: nearest neighbours and their distance in Å.
Element x y z (fractional)
Si  0.0000  0.0000  0.0000  8 Sb 3.09, 4 Si 3.26
Tc  0.0000  0.0000  0.5000  8 Sb 2.83
Sb  0.5000  0.5000  0.2776  4 Tc 2.83, 4 Si 3.09
Sb  0.5000  0.5000  0.7224  4 Tc 2.83, 4 Si 3.09

Properties
The calculated volume comes out at 78.4 Å³/f.u. Its calculated total energy is -5.71 eV per atom. For the formation energy (no corrections), the calculation gives 1.19 eV per formula unit.


12.
Here is an optimized crystal structure of TeC3 from Alexandria. Energies are from PBE.

Cell lengths 4.5484, 4.5484, 5.4956 Å; angles 93.66, 93.66, 44.74 degrees
Last column: nearest neighbours and their distance in Å.
Element x y z (fractional)
Te  0.0000  0.0000  0.0000  4 C 2.25
C  0.4998  0.4998  0.2626  1 C 1.30
C  0.5000  0.5000  0.5000  2 C 1.30
C  0.5002  0.5002  0.7374  1 C 1.30

Properties
The calculated volume comes out at 79.8 Å³/f.u. Its calculated total energy is -6.35 eV per atom. For the formation energy (no corrections), the calculation gives 5.40 eV per formula unit.


Q: calculated total energy of number 9 (LaSmPuTl)?
A: -6.59 eV per atom


Q: Among the records above, which one has the lowest calculated volume?
A: BeAg2O